4
Lattice="5.990 0.002 -0.014 -2.358 4.205 0.001 1.266 0.708 2.332" Properties=species:S:1:pos:R:3 comment="SiTcPt2 PBE-GGA relaxed" total_magnetization_mub_per_cell=0.00 final_energy_ev_per_atom=-7.15 dos_at_fermi_per_ev_atom=0.6736 formation_energy_uncorrected_mev_per_atom=-178 vol_a3_per_cell=58.8 crystal_system=orthorhombic pbc="T T T"
Si -0.546 2.457 1.166
Tc 1.816 2.104 -0.006
Pt 0.000 0.000 0.000
Pt 3.628 0.355 1.159

4
Lattice="3.379 0.000 0.000 1.690 2.927 0.000 1.690 0.976 10.644" Properties=species:S:1:pos:R:3 comment="Pu2RuPb PBE-GGA relaxed" total_magnetization_mub_per_cell=11.06 ef_ev_per_atom=0.1741 final_energy_ev_per_atom=-10.24 dos_at_fermi_per_ev_atom=3.3443 vol_a3_per_cell=105.3 crystal_system=trigonal pbc="T T T"
Ru 3.379 1.951 5.322
Pb 0.000 0.000 0.000
Pu 5.069 2.927 3.305
Pu 1.690 0.976 7.340

16
Lattice="-0.462 4.620 3.699 3.283 -3.020 4.181 5.620 2.595 -2.539" Properties=species:S:1:pos:R:3 comment="Na2ReWN4 PBE-GGA relaxed" total_magnetization_mub_per_cell=0.00 final_energy_ev_per_atom=-7.91 dos_at_fermi_per_ev_atom=0.1919 formation_energy_uncorrected_mev_per_atom=-238 vol_a3_per_cell=242.8 crystal_system=orthorhombic pbc="T T T"
N 2.545 -0.377 0.814
N 5.338 0.912 -0.447
N 3.314 0.989 3.967
Re 3.445 0.713 -0.460
N 5.952 -0.585 3.762
Na 2.015 2.137 2.327
Na 3.387 3.052 6.119
W 0.610 -0.561 0.777
Na 6.140 4.323 4.876
N 6.141 2.295 2.690
N 5.720 1.802 5.688
W 5.252 1.148 3.985
N -0.312 3.392 2.776
Re 2.417 -0.125 5.222
Na 4.882 3.461 1.032
N -0.096 1.172 0.985

10
Lattice="-3.991 6.624 -0.574 -3.246 -2.526 -6.575 -2.719 -1.473 1.908" Properties=species:S:1:pos:R:3 comment="LaZr2Ge2 PBE-GGA relaxed" total_magnetization_mub_per_cell=0.00 ef_ev_per_atom=-0.6264 final_energy_ev_per_atom=-6.88 dos_at_fermi_per_ev_atom=0.6042 vol_a3_per_cell=218.5 crystal_system=tetragonal pbc="T T T"
Zr -5.760 3.938 -1.708
Ge -4.348 0.281 -5.979
La -3.619 2.049 -3.574
Zr -6.726 1.585 -4.901
Ge -2.889 3.818 -1.169
Zr -3.230 1.041 -0.339
Ge -1.715 -0.134 -2.547
Ge -5.522 4.232 -4.602
La 0.000 0.000 0.000
Zr -4.196 -1.312 -3.532

12
Lattice="-2.804 -1.911 -2.825 4.504 -4.163 -1.654 -2.918 -1.137 7.117" Properties=species:S:1:pos:R:3 comment="Ta6MnRu5 PBE-GGA relaxed" total_magnetization_mub_per_cell=0.38 ef_ev_per_atom=-0.2973 final_energy_ev_per_atom=-10.85 dos_at_fermi_per_ev_atom=1.0511 vol_a3_per_cell=189.2 crystal_system=orthorhombic pbc="T T T"
Ta -0.350 -1.929 -1.799
Ta -1.638 -4.871 1.471
Ru -2.150 -2.466 0.353
Ta 0.420 -2.341 1.167
Ta -3.975 -2.711 2.329
Ru 0.932 -4.746 2.286
Mn 0.000 0.000 0.000
Ta 2.049 -4.146 -2.680
Ru 2.252 -2.082 -0.827
Ru 0.177 -4.395 -0.653
Ru -1.395 -2.817 3.291
Ta 2.757 -4.501 0.309

4
Lattice="2.797 -0.015 0.000 -1.308 2.473 0.000 0.000 0.000 8.159" Properties=species:S:1:pos:R:3 comment="BeAl2Ir PBE-GGA relaxed" total_magnetization_mub_per_cell=0.00 ef_ev_per_atom=-0.0348 final_energy_ev_per_atom=-5.05 dos_at_fermi_per_ev_atom=0.3551 vol_a3_per_cell=56.3 crystal_system=orthorhombic pbc="T T T"
Be 0.745 1.229 2.040
Al 0.000 0.000 0.036
Al 0.000 0.000 4.043
Ir 0.745 1.229 6.119

8
Lattice="4.549 0.000 0.000 0.000 8.344 -0.024 0.000 -3.078 8.489" Properties=species:S:1:pos:R:3 comment="Rb2ThHgTe4 PBE-GGA relaxed" total_magnetization_mub_per_cell=0.00 final_energy_ev_per_atom=-3.66 formation_energy_uncorrected_mev_per_atom=-886 vol_a3_per_cell=321.8 crystal_system=monoclinic pbc="T T T"
Rb 0.000 2.633 4.232
Te 2.274 3.917 6.951
Th 2.274 4.172 -0.012
Te 0.000 5.268 1.834
Te 0.000 -0.002 6.630
Hg 0.000 0.000 0.000
Te 2.274 1.349 1.513
Rb 2.274 -1.539 4.244

10
Lattice="5.123 0.000 0.000 0.000 5.123 0.000 2.562 2.562 12.652" Properties=species:S:1:pos:R:3 comment="YInSe3 PBE-GGA relaxed" total_magnetization_mub_per_cell=0.00 final_energy_ev_per_atom=-4.70 dos_at_fermi_per_ev_atom=0.1708 formation_energy_uncorrected_mev_per_atom=-769 vol_a3_per_cell=332.1 crystal_system=tetragonal pbc="T T T"
In 0.000 0.000 0.000
Se 2.562 2.562 5.230
Se 2.562 6.393 9.774
In 2.562 5.123 6.326
Se 2.562 3.854 9.774
Se 3.831 5.123 2.878
Y 5.123 2.562 3.795
Se 5.123 5.123 7.422
Se 1.292 5.123 2.878
Y 5.123 2.562 8.857

Question: What is the formula in the sixth record?
Answer: BeAl2Ir